Here is a relaxed TaRh2Cl crystal from the Alexandria database. Energies are from PBE-GGA.

Results
The calculation puts the magnetic moment at 0.0 μB per formula unit. As for the uncorrected formation energy: 0.2681 eV per atom.

Unit cell a=4.1518 b=4.1518 c=7.3959 alpha=90.00 beta=90.00 gamma=90.00
Closest atoms and distances in Å follow each position.
Space group I4/mmm (No. 139)
Unique sites:
Ta 0.0000 0.0000 0.0000  8 Rh 2.78, 4 Cl 2.94
Rh 0.0000 0.5000 0.2500  4 Ta 2.78, 4 Cl 2.78, 4 Rh 2.94
Cl 0.0000 0.0000 0.5000  8 Rh 2.78, 4 Ta 2.94

=====

Here is a relaxed InCu2Pt2 crystal from the Alexandria database. Energies are from PBE-GGA.

Results
The energy of formation from the pure elements is -0.15 eV per atom. The calculation puts the magnetic moment at 0.0 μB per formula unit.

Unit cell a=7.2791 b=7.2791 c=2.9348 alpha=90.00 beta=90.00 gamma=90.00
Closest atoms and distances in Å follow each position.
Space group P4/mbm (No. 127)
Unique sites:
In 0.0000 0.0000 0.0000  4 Cu 2.90, 2 In 2.93, 8 Pt 3.06
Cu 0.1202 0.3798 0.0000  1 Cu 2.47, 6 Pt 2.56-2.64
Pt 0.1757 0.6757 0.5000  6 Cu 2.56-2.64

=====

Here is a relaxed Mg2CuIr crystal from the Alexandria database. Energies are from PBE-GGA.

Results
The energy of formation from the pure elements is -0.16 eV per atom. The calculation puts the magnetic moment at 0.0 μB per formula unit.

Unit cell a=6.2606 b=6.2606 c=6.2606 alpha=90.00 beta=90.00 gamma=90.00
Closest atoms and distances in Å follow each position.
Space group F-43m (No. 216)
Unique sites:
Mg 0.0000 0.0000 0.0000  4 Ir 2.71, 4 Mg 2.71
Mg 0.2500 0.2500 0.2500  4 Mg 2.71, 4 Cu 2.71
Cu 0.0000 0.0000 0.5000  4 Mg 2.71, 4 Ir 2.71
Ir 0.2500 0.2500 0.7500  4 Mg 2.71, 4 Cu 2.71

=====

Here is a relaxed CeGaRh2 crystal from the Alexandria database. Energies are from PBE-GGA.

Results
The energy of formation from the pure elements is -0.74 eV per atom. The calculation puts the magnetic moment at 0.0 μB per formula unit.

Unit cell a=4.0401 b=10.7760 c=6.6511 alpha=90.00 beta=90.00 gamma=90.00
Closest atoms and distances in Å follow each position.
Space group Cmcm (No. 63)
Unique sites:
Ce 0.0000 0.0839 0.2500  4 Rh 2.82, 3 Ga 3.05-3.09
Ga 0.0000 0.1993 0.7500  6 Rh 2.57-2.59
Rh 0.0000 0.3645 0.0338  3 Ga 2.57-2.59, 2 Ce 2.82, 1 Rh 2.88

=====

Here is a relaxed La6CoCuSn2 crystal from the Alexandria database. Energies are from PBE-GGA.

Results
The energy of formation from the pure elements is -0.34 eV per atom. The calculation puts the magnetic moment at 0.0 μB per formula unit.

Unit cell a=7.4516 b=7.5171 c=7.6161 alpha=60.56 beta=63.53 gamma=89.97
Closest atoms and distances in Å follow each position.
Space group P-1 (No. 2)
Unique sites:
La 0.1562 0.2796 0.0366  1 Co 2.59, 1 Cu 2.88
La 0.2474 0.2870 0.4929  1 Cu 2.83, 1 Co 2.90
La 0.3141 0.8415 0.9719  1 Co 2.60, 1 Cu 2.88
Co 0.0000 0.0000 0.0000  4 La 2.59-2.60
Cu 0.5000 0.5000 0.0000  6 La 2.83-2.88
Sn 0.2522 0.7581 0.4985  6 La 3.36-3.71

=====

Here is a relaxed Zr6Zn2Fe crystal from the Alexandria database. Energies are from PBE-GGA.

Results
The energy of formation from the pure elements is -0.18 eV per atom. The calculation puts the magnetic moment at 0.0 μB per formula unit.

Unit cell a=7.9408 b=7.9408 c=3.2687 alpha=90.00 beta=90.00 gamma=120.00
Closest atoms and distances in Å follow each position.
Space group P-62m (No. 189)
Unique sites:
Zr 0.0000 0.2499 0.0000  2 Fe 2.57
Zr 0.0000 0.6041 0.5000  4 Zn 2.93, 1 Fe 3.14, 8 Zr 3.20-3.27
Zn 0.3333 0.6667 0.0000  9 Zr 2.93-3.03, 2 Zn 3.27
Fe 0.0000 0.0000 0.5000  6 Zr 2.57

=====

Here is a relaxed SrMnH2 crystal from the Alexandria database. Energies are from PBE-GGA.

Results
The calculation puts the magnetic moment at 3.0 μB per formula unit.

Unit cell a=5.3921 b=5.3921 c=7.3844 alpha=90.00 beta=90.00 gamma=90.00
Closest atoms and distances in Å follow each position.
Space group I-42d (No. 122)
Unique sites:
Sr 0.0000 0.0000 0.0000  4 H 2.58
Mn 0.0000 0.0000 0.5000  4 H 1.78
H 0.1307 0.2500 0.6250  2 Mn 1.78

=====

Here is a relaxed Zr3NbAg crystal from the Alexandria database. Energies are from PBE-GGA.

Results
The energy of formation from the pure elements is 0.93 eV per atom. The calculation puts the magnetic moment at 0.0 μB per formula unit.

Unit cell a=5.0983 b=5.0983 c=5.0983 alpha=90.00 beta=90.00 gamma=90.00
Closest atoms and distances in Å follow each position.
Space group Pm-3m (No. 221)
Unique sites:
Zr 0.0000 0.0000 0.5000  2 Nb 2.55
Nb 0.0000 0.0000 0.0000  6 Zr 2.55
Ag 0.5000 0.5000 0.5000  12 Zr 3.61

=====

Quick rundown of VASP energy, same order as above: -6.83; -4.75; -4.19; -6.66; -5.21; -7.10; -4.37; -6.78 eV per atom